VASP calculation (PBE) on a relaxed structure of FePt4Rh3.

Cell: 2.7479 4.0574 11.2906 Å, 93.38 96.99 90.00°
Last column: magnetic moment on the atom in μB.
Atoms (fractional coordinates):
Rh 0.0000 0.5000 0.0000  0.48
Rh 0.1562 0.2155 0.3125  0.06
Rh 0.8438 0.7845 0.6875  0.06
Fe 0.5000 0.0000 0.0000  3.01
Pt 0.4010 0.2992 0.8020  0.10
Pt 0.5990 0.7008 0.1980  0.10
Pt 0.7187 0.7379 0.4374  0.01
Pt 0.2813 0.2621 0.5626  0.01

Calculated values
E = -6.692 eV per atom
calculated formation energy = 14 kJ/mol of atoms
crystal system = monoclinic